# La5HgRh2 PBE optimized geometry
# Energy of formation in eV/atom: -0.5638
# DOS at the Fermi energy in states/eV/cell: 43.556
data_La5HgRh2
_chemical_formula_sum 'La20 Hg4 Rh8'
_space_group_name_H-M_alt 'I 4/m c m'
_space_group_IT_number 140
_space_group_name_Hall '-I 4 2c'
_cell_length_a 8.112
_cell_length_b 8.112
_cell_length_c 14.066
_cell_angle_alpha 90.00
_cell_angle_beta 90.00
_cell_angle_gamma 90.00
loop_
_atom_site_label
_atom_site_type_symbol
_atom_site_fract_x
_atom_site_fract_y
_atom_site_fract_z
La1 La 0.000 0.000 0.000
La2 La 0.162 0.338 0.134
Hg1 Hg 0.000 0.000 0.250
Rh1 Rh 0.138 0.362 0.500